Material: KSr2Br
Method: DFT, PBE
State: optimized geometry

Results
Formation energy from raw total energies in eV per formula unit: -2.16
N(E_F) in states/eV/atom: 0.81
Density in g/cm³: 2.28
Total magnetization in μB/f.u.: 0.007

Lattice parameters (Å, degrees): 10.4376 10.4376 7.8619 90.00 90.00 90.00
Space group I-42d (No. 122)
Inequivalent atoms, fractional coordinates:
K 0.0000 0.0000 0.0000
Sr 0.1548 0.7500 0.6250
Br 0.0000 0.0000 0.5000